VASP calculation (GGA-PBE) on an optimized crystal structure of CuTe2F.

Properties
Total magnetization: 0.00 Bohr magnetons per cell
Formation energy without anion corrections: -173 meV per atom
Energy above the most stable polymorph in this dataset: 317.7 meV per atom

abc: 9.456 9.456 9.456
angles: 19.52 19.52 19.52
Element x y z (fractional)
Te (0.909, 0.909, 0.909)
Te (0.091, 0.091, 0.091)
Cu (0.000, 0.000, 0.000)
F (0.500, 0.500, 0.500)



VASP calculation (GGA-PBE) on an optimized crystal structure of SrBiAu3.

Properties
Energy of formation from the pure elements: -0.42 eV per atom
Total magnetization: 0.00 Bohr magnetons per cell
Energy above the most stable polymorph in this dataset: 0.0 meV per atom

abc: 7.447 6.422 10.978
angles: 88.45 90.00 90.00
Element x y z (fractional)
Sr (0.962, 0.724, 0.244)
Sr (0.038, 0.276, 0.756)
Sr (0.462, 0.276, 0.256)
Sr (0.538, 0.724, 0.744)
Bi (0.238, 0.985, 0.501)
Bi (0.762, 0.015, 0.499)
Bi (0.738, 0.015, 0.999)
Bi (0.262, 0.985, 0.001)
Au (0.011, 0.220, 0.328)
Au (0.989, 0.780, 0.672)
Au (0.511, 0.780, 0.172)
Au (0.489, 0.220, 0.828)
Au (0.513, 0.693, 0.416)
Au (0.487, 0.307, 0.584)
Au (0.013, 0.307, 0.084)
Au (0.987, 0.693, 0.916)
Au (0.183, 0.515, 0.490)
Au (0.817, 0.485, 0.510)
Au (0.683, 0.485, 0.010)
Au (0.317, 0.515, 0.990)



VASP calculation (GGA-PBE) on an optimized crystal structure of BaAlZnSi2.

Properties
Total magnetization: 0.00 Bohr magnetons per cell
Formation energy without anion corrections: -245 meV per atom

abc: 4.516 4.516 6.116
angles: 111.66 111.66 90.00
Element x y z (fractional)
Ba (0.000, 0.000, 0.000)
Al (0.750, 0.250, 0.500)
Zn (0.250, 0.750, 0.500)
Si (0.623, 0.623, 0.246)
Si (0.377, 0.377, 0.754)



Question: What is the total magnetization in the third record?
Answer: 0.00 Bohr magnetons per cell